No. 1
This record from Alexandria describes crystalline BaSc2Sb at its relaxed geometry. The functional is GGA-PBEsol.

Computed properties:
Spin magnetization = 0.000 μB per atom
Uncorrected formation energy = -165 meV/atom

Geometry as POSCAR:
```
BaSc2Sb
1.0
-1.982 4.354 -0.156
-2.086 -1.098 -4.166
-1.648 -3.223 4.425
Sb Ba Sc
1 1 2
Direct
0.000 0.000 0.000
0.500 0.500 0.000
0.750 0.250 0.500
0.250 0.750 0.500
```


No. 2
This record from Alexandria describes crystalline Ba4Sb4Se11 at its relaxed geometry. The functional is GGA-PBEsol.

Computed properties:
Spin magnetization = 0.000 μB per atom
Uncorrected formation energy = -1032 meV/atom

Geometry as POSCAR:
```
Ba4Sb4Se11
1.0
-3.572 -2.298 -7.790
4.135 -8.100 0.493
-21.970 -10.416 13.147
Se Ba Sb
44 16 16
Direct
0.727 0.000 0.236
0.000 0.205 0.500
0.101 0.000 0.971
0.694 0.000 0.874
0.349 0.500 0.120
0.313 0.211 0.885
0.306 0.000 0.126
0.313 0.789 0.885
0.194 0.500 0.626
0.273 0.000 0.764
0.773 0.500 0.736
0.651 0.500 0.880
0.546 0.224 0.325
0.454 0.224 0.675
0.954 0.724 0.825
0.454 0.776 0.675
0.102 0.500 0.969
0.046 0.276 0.175
0.000 0.795 0.500
0.398 0.000 0.469
0.046 0.724 0.175
0.500 0.705 0.000
0.227 0.500 0.264
0.710 0.500 0.240
0.187 0.711 0.385
0.687 0.211 0.115
0.210 0.000 0.260
0.899 0.000 0.029
0.602 0.000 0.531
0.500 0.295 0.000
0.813 0.289 0.615
0.151 0.000 0.620
0.187 0.289 0.385
0.898 0.500 0.031
0.546 0.776 0.325
0.290 0.500 0.760
0.399 0.500 0.471
0.806 0.500 0.374
0.790 0.000 0.740
0.813 0.711 0.615
0.601 0.500 0.529
0.954 0.276 0.825
0.849 0.000 0.380
0.687 0.789 0.115
0.656 0.753 0.441
0.844 0.747 0.941
0.344 0.247 0.559
0.656 0.247 0.441
0.156 0.253 0.059
0.437 0.752 0.209
0.063 0.748 0.709
0.937 0.252 0.291
0.437 0.248 0.209
0.344 0.753 0.559
0.563 0.248 0.791
0.063 0.252 0.709
0.156 0.747 0.059
0.563 0.752 0.791
0.844 0.253 0.941
0.937 0.748 0.291
0.364 0.000 0.340
0.136 0.500 0.840
0.636 0.000 0.660
0.413 0.500 0.935
0.587 0.500 0.065
0.864 0.500 0.160
0.122 0.000 0.843
0.087 0.000 0.435
0.543 0.000 0.071
0.457 0.000 0.929
0.378 0.500 0.343
0.622 0.500 0.657
0.913 0.000 0.565
0.878 0.000 0.157
0.043 0.500 0.429
0.957 0.500 0.571
```


No. 3
This record from Alexandria describes crystalline BaSb2Se at its relaxed geometry. The functional is GGA-PBEsol.

Computed properties:
Spin magnetization = 0.000 μB per atom
Uncorrected formation energy = -387 meV/atom

Geometry as POSCAR:
```
BaSb2Se
1.0
4.306 0.000 0.000
0.000 4.306 0.000
0.000 0.000 6.375
Sb Se Ba
2 1 1
Direct
0.000 0.000 0.783
0.000 0.000 0.217
0.500 0.500 0.000
0.500 0.500 0.500
```


No. 4
This record from Alexandria describes crystalline Ba3SbSe at its relaxed geometry. The functional is GGA-PBEsol.

Computed properties:
Spin magnetization = 0.000 μB per atom
Uncorrected formation energy = -995 meV/atom

Geometry as POSCAR:
```
Ba3SbSe
1.0
6.037 0.000 0.000
0.000 6.037 0.000
0.000 0.000 6.037
Ba Sb Se
3 1 1
Direct
0.000 0.000 0.500
0.000 0.500 0.000
0.500 0.000 0.000
0.500 0.500 0.500
0.000 0.000 0.000
```


No. 5
This record from Alexandria describes crystalline BaSb2Se at its relaxed geometry. The functional is GGA-PBEsol.

Computed properties:
Spin magnetization = 0.000 μB per atom
Uncorrected formation energy = -522 meV/atom

Geometry as POSCAR:
```
BaSb2Se
1.0
-2.649 0.315 4.779
2.750 -0.581 4.697
0.767 4.318 3.274
Ba Sb Se
1 2 1
Direct
0.250 0.250 0.250
0.750 0.750 0.750
0.000 0.000 0.000
0.500 0.500 0.500
```


No. 6
This record from Alexandria describes crystalline BaSb2Se at its relaxed geometry. The functional is GGA-PBEsol.

Computed properties:
Spin magnetization = 0.000 μB per atom
Uncorrected formation energy = -768 meV/atom

Geometry as POSCAR:
```
BaSb2Se
1.0
-0.870 2.226 -3.749
2.208 -3.072 -2.336
-5.950 -3.670 -0.798
Sb Se Ba
2 1 1
Direct
0.000 0.000 0.185
0.500 0.500 0.126
0.000 0.000 0.566
0.500 0.500 0.623
```


No. 7
This record from Alexandria describes crystalline Ba3Sb2Se7 at its relaxed geometry. The functional is GGA-PBEsol.

Computed properties:
Spin magnetization = 0.000 μB per atom
Uncorrected formation energy = -1161 meV/atom

Geometry as POSCAR:
```
Ba3Sb2Se7
1.0
-3.022 6.632 -8.586
-5.930 -5.604 -7.763
-12.882 3.203 2.093
Se Sb Ba
28 8 12
Direct
0.436 0.391 0.413
0.142 0.356 0.359
0.609 0.564 0.087
0.695 0.194 0.139
0.902 0.403 0.885
0.356 0.142 0.859
0.936 0.891 0.913
0.597 0.098 0.615
0.144 0.358 0.641
0.305 0.806 0.861
0.806 0.305 0.361
0.299 0.799 0.317
0.858 0.644 0.641
0.799 0.299 0.817
0.891 0.936 0.413
0.564 0.609 0.587
0.391 0.436 0.913
0.194 0.695 0.639
0.644 0.858 0.141
0.856 0.642 0.359
0.064 0.109 0.087
0.403 0.902 0.385
0.701 0.201 0.683
0.201 0.701 0.183
0.642 0.856 0.859
0.109 0.064 0.587
0.358 0.144 0.141
0.098 0.597 0.115
0.161 0.662 0.901
0.282 0.219 0.500
0.219 0.282 0.000
0.781 0.718 0.000
0.338 0.839 0.599
0.839 0.338 0.099
0.662 0.161 0.401
0.718 0.781 0.500
0.405 0.395 0.672
0.382 0.882 0.054
0.095 0.106 0.828
0.882 0.382 0.554
0.605 0.595 0.828
0.106 0.095 0.328
0.894 0.905 0.672
0.595 0.605 0.328
0.395 0.405 0.172
0.618 0.118 0.946
0.118 0.618 0.446
0.905 0.894 0.172
```


No. 8
This record from Alexandria describes crystalline BaSb2Se at its relaxed geometry. The functional is GGA-PBEsol.

Computed properties:
Spin magnetization = 0.000 μB per atom
Uncorrected formation energy = -660 meV/atom

Geometry as POSCAR:
```
BaSb2Se
1.0
4.445 0.000 0.000
0.000 4.445 0.000
-2.222 -2.222 5.935
Se Sb Ba
1 2 1
Direct
0.500 0.500 0.000
0.250 0.750 0.500
0.750 0.250 0.500
0.000 0.000 0.000
```


No. 9
This record from Alexandria describes crystalline Ba2SbSe at its relaxed geometry. The functional is GGA-PBEsol.

Computed properties:
Spin magnetization = 0.001 μB per atom
Uncorrected formation energy = -1309 meV/atom

Geometry as POSCAR:
```
Ba2SbSe
1.0
-0.273 3.525 2.817
-3.884 0.893 2.133
1.081 -3.636 8.280
Sb Ba Se
1 2 1
Direct
0.501 0.501 0.498
0.741 0.741 0.776
0.925 0.925 0.224
0.333 0.333 0.002
```


No. 10
This record from Alexandria describes crystalline Ba4SiSb2Se11 at its relaxed geometry. The functional is GGA-PBEsol.

Computed properties:
Spin magnetization = 0.000 μB per atom
Uncorrected formation energy = -1118 meV/atom

Geometry as POSCAR:
```
Ba4SiSb2Se11
1.0
8.700 0.000 0.000
0.000 9.365 0.000
0.000 4.683 12.684
Se Ba Sb Si
22 8 4 2
Direct
0.393 0.883 0.674
0.893 0.557 0.326
0.023 0.470 0.061
0.390 0.445 0.109
0.985 0.993 0.014
0.596 0.383 0.235
0.210 0.767 0.467
0.132 0.125 0.749
0.228 0.266 0.468
0.710 0.233 0.533
0.259 0.707 0.199
0.096 0.617 0.765
0.728 0.734 0.532
0.893 0.117 0.326
0.259 0.095 0.199
0.759 0.293 0.801
0.759 0.905 0.801
0.523 0.530 0.939
0.393 0.443 0.674
0.890 0.555 0.891
0.632 0.875 0.251
0.485 0.007 0.986
0.237 0.784 0.924
0.737 0.708 0.076
0.998 0.456 0.581
0.998 0.963 0.581
0.498 0.544 0.419
0.737 0.216 0.076
0.498 0.037 0.419
0.237 0.292 0.924
0.564 0.145 0.710
0.570 0.648 0.705
0.064 0.855 0.290
0.070 0.352 0.295
0.409 0.921 0.159
0.909 0.079 0.841
```


No. 11
This record from Alexandria describes crystalline BaSi3Sb at its relaxed geometry. The functional is GGA-PBEsol.

Computed properties:
Spin magnetization = 0.000 μB per atom
Uncorrected formation energy = 597 meV/atom

Geometry as POSCAR:
```
BaSi3Sb
1.0
-0.862 -4.676 -2.158
4.666 0.217 -2.334
2.179 -2.314 4.143
Si Sb Ba
3 1 1
Direct
0.500 0.000 0.000
0.000 0.500 0.000
0.000 0.000 0.500
0.000 0.000 0.000
0.500 0.500 0.500
```


No. 12
This record from Alexandria describes crystalline Ba3TaSb at its relaxed geometry. The functional is GGA-PBEsol.

Computed properties:
Spin magnetization = 0.000 μB per atom
Uncorrected formation energy = 611 meV/atom

Geometry as POSCAR:
```
Ba3TaSb
1.0
5.816 0.000 0.000
0.000 5.816 0.000
0.000 0.000 5.816
Ta Sb Ba
1 1 3
Direct
0.000 0.000 0.000
0.500 0.500 0.500
0.000 0.500 0.000
0.000 0.000 0.500
0.500 0.000 0.000
```


Number 1 is which compound? BaSc2Sb


Repeat the eighth record exactly.
This record from Alexandria describes crystalline BaSb2Se at its relaxed geometry. The functional is GGA-PBEsol.

Computed properties:
Spin magnetization = 0.000 μB per atom
Uncorrected formation energy = -660 meV/atom

Geometry as POSCAR:
```
BaSb2Se
1.0
4.445 0.000 0.000
0.000 4.445 0.000
-2.222 -2.222 5.935
Se Sb Ba
1 2 1
Direct
0.500 0.500 0.000
0.250 0.750 0.500
0.750 0.250 0.500
0.000 0.000 0.000
```